Below is a relaxed structure of Sr2Pd, with properties calculated at the PBE-GGA level.

Unit cell a=5.2539 b=5.2539 c=5.2539 alpha=60.00 beta=60.00 gamma=60.00
Closest atoms and distances in Å follow each position.
Atoms (fractional coordinates):
Sr 0.2500 0.2500 0.2500  4 Pd 3.22
Sr 0.7500 0.7500 0.7500  4 Pd 3.22
Pd 0.0000 0.0000 0.0000  8 Sr 3.22

Calculated values
* symmetry: Fm-3m
* total DFT energy (no corrections): -3.28 eV/atom